(1)
Below is crystalline InTe3Au at its relaxed geometry, with properties calculated at the PBE level.

It has space group C2/c (No. 15), with a = 13.477 Å, b = 10.492 Å, c = 11.109 Å, α = 90.00°, β = 123.41° and γ = 90.00°. The distinct sites, in fractional coordinates, are In at (0.194, 0.080, 0.260), Te at (0.064, 0.290, 0.640), Te at (0.107, 0.353, 0.158), Te at (0.164, 0.056, 0.507), Au at (0.000, 0.072, 0.750) and Au at (0.000, 0.485, 0.750).

Its polymorph energy (0 for the lowest one) is 0.000 eV/atom. The volume is 32.78 A^3/atom. For the uncorrected formation energy, the calculation gives -59.5 meV per atom.

---

(2)
Below is crystalline YFeSb2 at its relaxed geometry, with properties calculated at the PBE level.

It has space group R3m (No. 160, hexagonal axes), with a = 3.5444 Å, b = 3.5444 Å, c = 26.7715 Å, α = 90.00°, β = 90.00° and γ = 120.00°. The distinct sites, in fractional coordinates, are Y at (0.0000, 0.0000, 0.0000), Fe at (0.0000, 0.0000, 0.7429), Sb at (0.0000, 0.0000, 0.2389) and Sb at (0.0000, 0.0000, 0.4669).

The volume is 24.27 A^3/atom. For the uncorrected formation energy, the calculation gives 49.9 meV per atom.

---

(3)
Below is crystalline TcIrRuN2 at its relaxed geometry, with properties calculated at the PBE level.

It has space group P4/mmm (No. 123), with a = 3.700 Å, b = 3.700 Å, c = 5.521 Å, α = 90.00°, β = 90.00° and γ = 90.00°. The distinct sites, in fractional coordinates, are Tc at (0.000, 0.000, 0.000), Ir at (0.500, 0.500, 0.500), Ru at (0.500, 0.500, 0.000) and N at (0.000, 0.500, 0.500).

Its polymorph energy (0 for the lowest one) is 0.006 eV/atom. The volume is 15.11 A^3/atom. For the uncorrected formation energy, the calculation gives 1515.1 meV per atom.

---

(4)
Below is crystalline Tb6CeEr10 at its relaxed geometry, with properties calculated at the PBE level.

It has space group P-31m (No. 162), with a = 9.5757 Å, b = 9.5757 Å, c = 6.7788 Å, α = 90.00°, β = 90.00° and γ = 120.00°. The distinct sites, in fractional coordinates, are Tb at (0.0000, 0.3779, 0.1981), Ce at (0.0000, 0.0000, 0.0000), Er at (0.0000, 0.2738, 0.6822), Er at (0.3333, 0.6667, 0.0000) and Er at (0.3333, 0.6667, 0.5000).

The volume is 31.66 A^3/atom. The calculation puts the formation energy at 0.15 eV per atom.

---

(5)
Below is crystalline Ba4BiSbI2 at its relaxed geometry, with properties calculated at the PBE level.

It has space group P2/m (No. 10), with a = 8.888 Å, b = 5.104 Å, c = 8.906 Å, α = 90.00°, β = 109.33° and γ = 90.00°. The distinct sites, in fractional coordinates, are Ba at (0.236, 0.000, 0.217), Ba at (0.256, 0.500, 0.781), Bi at (0.500, 0.000, 0.000), Sb at (0.000, 0.500, 0.000), I at (0.000, 0.000, 0.500) and I at (0.500, 0.500, 0.500).

The volume is 47.66 A^3/atom. For the uncorrected formation energy, the calculation gives -1353.7 meV per atom.

---

(6)
Below is crystalline AgGe2Se2 at its relaxed geometry, with properties calculated at the PBE level.

It has space group P4/mbm (No. 127), with a = 7.796 Å, b = 7.796 Å, c = 3.755 Å, α = 90.00°, β = 90.00° and γ = 90.00°. The distinct sites, in fractional coordinates, are Ag at (0.000, 0.000, 0.000), Ge at (0.168, 0.332, 0.500) and Se at (0.173, 0.673, 0.000).

Its polymorph energy (0 for the lowest one) is 0.021 eV/atom. The volume is 22.82 A^3/atom. For the uncorrected formation energy, the calculation gives 94.8 meV per atom.

---

(7)
Below is crystalline PaSi3Ir3 at its relaxed geometry, with properties calculated at the PBE level.

It has space group Pm-3n (No. 223), with a = 6.528 Å, b = 6.528 Å, c = 6.528 Å, α = 90.00°, β = 90.00° and γ = 90.00°. The distinct sites, in fractional coordinates, are Pa at (0.000, 0.000, 0.000), Si at (0.000, 0.250, 0.500) and Ir at (0.000, 0.500, 0.250).

The volume is 19.87 A^3/atom. For the uncorrected formation energy, the calculation gives -216.8 meV per atom.

---

(8)
Below is crystalline Ac2TbY2 at its relaxed geometry, with properties calculated at the PBE level.

It has space group P-1 (No. 2), with a = 6.369 Å, b = 8.523 Å, c = 8.560 Å, α = 69.74°, β = 68.35° and γ = 68.27°. The distinct sites, in fractional coordinates, are Ac at (0.238, 0.134, 0.367), Ac at (0.262, 0.633, 0.865), Tb at (0.251, 0.418, 0.582), Y at (0.249, 0.749, 0.251) and Y at (0.250, 0.083, 0.917).

Its polymorph energy (0 for the lowest one) is 0.000 eV/atom. The volume is 38.92 A^3/atom. The calculation puts the formation energy at 0.23 eV per atom.

---

(9)
Below is crystalline Si2AsBr at its relaxed geometry, with properties calculated at the PBE level.

It has space group I-42d (No. 122), with a = 7.127 Å, b = 7.127 Å, c = 7.356 Å, α = 90.00°, β = 90.00° and γ = 90.00°. The distinct sites, in fractional coordinates, are Si at (0.209, 0.750, 0.125), As at (0.000, 0.000, 0.000) and Br at (0.000, 0.000, 0.500).

Its polymorph energy (0 for the lowest one) is 0.425 eV/atom. The volume is 23.35 A^3/atom. For the uncorrected formation energy, the calculation gives 482.5 meV per atom.

---

(10)
Below is crystalline KPuPdS3 at its relaxed geometry, with properties calculated at the PBE level.

It has space group P2_1/m (No. 11), with a = 8.527 Å, b = 4.079 Å, c = 9.262 Å, α = 90.00°, β = 106.76° and γ = 90.00°. The distinct sites, in fractional coordinates, are K at (0.198, 0.250, 0.238), Pu at (0.322, 0.750, 0.847), Pd at (0.091, 0.250, 0.585), S at (0.126, 0.250, 0.866), S at (0.213, 0.750, 0.545) and S at (0.461, 0.750, 0.151).

The volume is 25.71 A^3/atom. For the uncorrected formation energy, the calculation gives -1158.5 meV per atom.